Material: SmDyB4
Method: DFT, PBE
State: relaxed

symmetry	No. 71
E_tot	-38.83	eV/f.u.
magnetic moment	0.00	μB/f.u.
E above lowest polymorph	0.008	eV per atom

CIF file:
```
data_SmDyB4
_cell_length_a 5.153
_cell_length_b 5.153
_cell_length_c 5.153
_cell_angle_alpha 142.53
_cell_angle_beta 112.36
_cell_angle_gamma 79.97
_symmetry_space_group_name_H-M 'P 1'
_symmetry_Int_Tables_number 1
_symmetry_space_group_name_Hall 'P 1'
loop_
_atom_site_label
_atom_site_fract_x
_atom_site_fract_y
_atom_site_fract_z
_atom_site_occupancy
B1 0.418 0.751 0.667 1
B2 0.582 0.249 0.333 1
B3 0.085 0.751 0.333 1
B4 0.915 0.249 0.667 1
Sm1 0.000 0.000 0.000 1
Dy1 0.500 0.500 0.000 1
```


Material: DyEr2Tm3CuTe2
Method: DFT, PBE
State: relaxed

symmetry	No. 38
E_tot	-42.84	eV/f.u.
magnetic moment	0.08	μB/f.u.

CIF file:
```
data_DyEr2Tm3CuTe2
_cell_length_a 3.908
_cell_length_b 8.329
_cell_length_c 8.329
_cell_angle_alpha 119.97
_cell_angle_beta 90.00
_cell_angle_gamma 90.00
_symmetry_space_group_name_H-M 'P 1'
_symmetry_Int_Tables_number 1
_symmetry_space_group_name_Hall 'P 1'
loop_
_atom_site_label
_atom_site_fract_x
_atom_site_fract_y
_atom_site_fract_z
_atom_site_occupancy
Er1 0.000 0.402 0.000 1
Er2 0.000 0.000 0.402 1
Te1 0.500 0.667 0.333 1
Te2 0.500 0.333 0.667 1
Dy1 0.000 0.598 0.598 1
Tm1 0.500 0.000 0.758 1
Tm2 0.500 0.242 0.242 1
Tm3 0.500 0.758 0.000 1
Cu1 0.000 0.001 0.001 1
```


Material: ErAsN2O
Method: DFT, PBE
State: relaxed

symmetry	No. 51
E_tot	-34.16	eV/f.u.
magnetic moment	0.00	μB/f.u.

CIF file:
```
data_ErAsN2O
_cell_length_a 5.402
_cell_length_b 3.597
_cell_length_c 5.603
_cell_angle_alpha 90.00
_cell_angle_beta 90.00
_cell_angle_gamma 90.00
_symmetry_space_group_name_H-M 'P 1'
_symmetry_Int_Tables_number 1
_symmetry_space_group_name_Hall 'P 1'
loop_
_atom_site_label
_atom_site_fract_x
_atom_site_fract_y
_atom_site_fract_z
_atom_site_occupancy
Er1 0.750 0.000 0.793 1
Er2 0.250 0.000 0.207 1
N1 0.750 0.000 0.198 1
N2 0.500 0.500 0.500 1
N3 0.000 0.500 0.500 1
N4 0.250 0.000 0.802 1
As1 0.750 0.500 0.285 1
As2 0.250 0.500 0.715 1
O1 0.500 0.500 0.000 1
O2 0.000 0.500 0.000 1
```


- Which of these has the highest E_tot?
  ErAsN2O


- The highest magnetic moment belongs to which entry?
  DyEr2Tm3CuTe2


- Which formula does entry 3 have?
  ErAsN2O